Pm2Ta2N5, relaxed, DFT GGA-PBE; energy = -9.559 eV per atom; ΔE_f (raw) = -1.24 eV per atom
1.0
3.2929 0.0000 1.0012
0.8064 6.6280 3.2634
-0.0506 0.7673 6.0821
Pm Ta N
2 2 5
Direct
0.3278 0.2161 0.1282
0.6722 0.7839 0.8718
0.0599 0.2637 0.6164
0.9401 0.7363 0.3836
0.3435 0.8274 0.4855
0.6565 0.1726 0.5145
0.1126 0.5484 0.2263
0.8874 0.4516 0.7737
0.0000 0.0000 0.0000


PmTaN3, relaxed, DFT GGA-PBE; energy = -9.218 eV per atom; ΔE_f (raw) = -0.90 eV per atom
1.0
4.2232 0.0000 -0.0002
0.0000 4.6046 0.0000
0.0003 0.0000 6.3089
Pm Ta N
2 2 6
Direct
0.0000 0.2500 0.1780
0.0000 0.7500 0.8220
0.5000 0.7500 0.2969
0.5000 0.2500 0.7031
0.5000 0.0000 0.0000
0.5000 0.5000 0.0000
0.0000 0.7500 0.2764
0.0000 0.2500 0.7236
0.5000 0.2500 0.3781
0.5000 0.7500 0.6219


Pm3TaN4, relaxed, DFT GGA-PBE; energy = -8.742 eV per atom; ΔE_f (raw) = -1.32 eV per atom
1.0
-1.0056 2.3403 2.2958
-4.0873 -3.8525 2.1369
5.1413 -0.7525 3.0192
N Ta Pm
4 1 3
Direct
0.0000 0.2158 0.2158
0.5000 0.7770 0.2230
0.0000 0.7842 0.7842
0.5000 0.2230 0.7770
0.5000 0.0000 0.0000
0.0000 0.0000 0.5000
0.5000 0.5000 0.5000
0.0000 0.5000 0.0000


Pm3TaN4, relaxed, DFT GGA-PBE; energy = -8.710 eV per atom; ΔE_f (raw) = -1.28 eV per atom
1.0
5.1924 0.0000 0.0000
0.0000 6.8003 0.0000
0.0000 0.0000 8.0367
Pm Ta N
6 2 8
Direct
0.5609 0.8386 0.0000
0.0625 0.6679 0.2460
0.5625 0.3321 0.2540
0.0609 0.1614 0.5000
0.5625 0.3321 0.7460
0.0625 0.6679 0.7540
0.0163 0.1770 0.0000
0.5163 0.8230 0.5000
0.0603 0.8832 0.0000
0.6366 0.1754 0.0000
0.0581 0.3052 0.2248
0.5581 0.6948 0.2752
0.1366 0.8246 0.5000
0.5603 0.1168 0.5000
0.5581 0.6948 0.7248
0.0581 0.3052 0.7752


PmTaN3, relaxed, DFT GGA-PBE; energy = -9.252 eV per atom; ΔE_f (raw) = -0.94 eV per atom
1.0
-0.8632 3.9432 0.5773
-3.9525 -0.9226 0.3921
0.5098 -0.4766 4.0174
N Pm Ta
3 1 1
Direct
0.0000 0.5000 0.0000
0.0000 0.0000 0.5000
0.5000 0.0000 0.0000
0.5000 0.5000 0.5000
0.0000 0.0000 0.0000


PmTaN2, relaxed, DFT GGA-PBE; energy = -9.659 eV per atom; ΔE_f (raw) = -1.35 eV per atom
1.0
3.3512 0.0000 0.0000
0.0000 5.7876 0.0000
0.0000 0.0000 11.0588
Pm Ta N
4 4 8
Direct
0.7500 0.0867 0.1366
0.2500 0.9133 0.8634
0.7500 0.5867 0.3634
0.2500 0.4133 0.6366
0.2500 0.5816 0.1116
0.2500 0.0816 0.3884
0.7500 0.4184 0.8884
0.7500 0.9184 0.6116
0.7500 0.2266 0.4884
0.2500 0.7734 0.5116
0.7500 0.7266 0.0116
0.2500 0.2734 0.9884
0.7500 0.1629 0.7541
0.2500 0.3371 0.2541
0.7500 0.6629 0.7459
0.2500 0.8371 0.2459


PmTa4N8, relaxed, DFT GGA-PBE; energy = -10.001 eV per atom; ΔE_f (raw) = -0.87 eV per atom
1.0
-2.8399 1.1678 0.8323
-4.2173 -1.6380 -6.0111
-2.8563 -5.7087 4.3439
Pm Ta N
1 4 8
Direct
0.5258 0.0973 0.8512
0.3547 0.8093 0.4812
0.8328 0.5370 0.7975
0.1839 0.4760 0.1561
0.6875 0.1841 0.4410
0.2277 0.2454 0.2991
0.5604 0.5793 0.2999
0.4741 0.3829 0.6689
0.7957 0.7523 0.6562
0.8679 0.9131 0.3511
0.2007 0.6393 0.9593
0.1512 0.0805 0.6171
0.8419 0.3255 0.9908


PmTaN3, relaxed, DFT GGA-PBE; energy = -9.175 eV per atom; ΔE_f (raw) = -0.86 eV per atom
1.0
3.2205 -0.0005 -0.0008
0.0012 6.5165 -0.1902
0.0019 2.0866 6.1764
Pm Ta N
2 2 6
Direct
0.3631 0.6941 0.7464
0.8632 0.1937 0.2469
0.3627 0.6940 0.2464
0.3639 0.1941 0.7466
0.8633 0.3765 0.8124
0.8633 0.0121 0.6803
0.8631 0.6282 0.0641
0.3633 0.0169 0.0691
0.8631 0.7604 0.4285
0.3632 0.3716 0.4237